VASP calculation (PBE-GGA) on a relaxed structure of AgBi2Pd5.

The calculation puts the energy relative to the lowest polymorph listed for this composition at 1.71 eV/f.u. The calculation puts the volume at 160.1 Å³/f.u. For the density of states at the Fermi level, the calculation gives 7.929 states/eV/cell.

Geometry as POSCAR:
```
AgBi2Pd5
1.0
1.5231 -9.0995 0.0000
1.5231 9.0995 0.0000
0.0000 0.0000 11.5483
Ag Bi Pd
2 4 10
direct
0.1353 0.8647 0.7500
0.8647 0.1353 0.2500
0.1260 0.8740 0.0058
0.1260 0.8740 0.4942
0.8740 0.1260 0.5058
0.8740 0.1260 0.9942
0.0017 0.9983 0.6318
0.0017 0.9983 0.8682
0.1341 0.8659 0.2500
0.2618 0.7382 0.6168
0.2618 0.7382 0.8832
0.7382 0.2618 0.1168
0.7382 0.2618 0.3832
0.8659 0.1341 0.7500
0.9983 0.0017 0.1318
0.9983 0.0017 0.3682
```


VASP calculation (PBE-GGA) on a relaxed structure of NdDy3Er2Te6.

The calculation puts the volume at 353.4 Å³/f.u. For the density of states at the Fermi level, the calculation gives 6.730 states/eV/cell. The calculation puts the raw formation energy at -1483 kJ/mol of formula units.

Geometry as POSCAR:
```
NdDy3Er2Te6
1.0
9.4927 -2.1668 0.0000
9.4927 2.1668 0.0000
-1.8794 0.0000 8.5909
Nd Dy Er Te
1 3 2 6
direct
0.0000 0.0000 0.0000
0.0000 0.0000 0.5000
0.3404 0.3404 0.1650
0.6596 0.6596 0.8350
0.3362 0.3362 0.6690
0.6638 0.6638 0.3310
0.1688 0.1688 0.5839
0.1728 0.1728 0.0902
0.4972 0.4972 0.7403
0.5028 0.5028 0.2597
0.8272 0.8272 0.9098
0.8312 0.8312 0.4161
```


VASP calculation (PBE-GGA) on a relaxed structure of GdYSc2.

The calculation puts the energy relative to the lowest polymorph listed for this composition at 0.05 eV/f.u. The calculation puts the volume at 112.4 Å³/f.u. For the density of states at the Fermi level, the calculation gives 6.277 states/eV/cell.

Geometry as POSCAR:
```
GdYSc2
1.0
1.7179 0.9918 10.9910
-1.7179 0.9918 10.9910
0.0000 -1.9837 10.9910
Gd Y Sc
1 1 2
direct
0.0000 0.0000 0.0000
0.5000 0.5000 0.5000
0.2501 0.2501 0.2501
0.7499 0.7499 0.7499
```


VASP calculation (PBE-GGA) on a relaxed structure of AgMo2W.

The calculation puts the energy relative to the lowest polymorph listed for this composition at 0.81 eV/f.u. The calculation puts the volume at 65.7 Å³/f.u. For the density of states at the Fermi level, the calculation gives 3.019 states/eV/cell.

Geometry as POSCAR:
```
AgMo2W
1.0
2.6630 0.0000 0.0000
0.0000 2.6630 0.0000
0.0000 0.0000 9.2584
Ag Mo W
1 2 1
direct
0.0000 0.0000 0.0000
0.0000 0.0000 0.5004
0.5000 0.5000 0.2529
0.5000 0.5000 0.7481
```


VASP calculation (PBE-GGA) on a relaxed structure of CdIr2Os.

The calculation puts the volume at 63.0 Å³/f.u. The value obtained for the total energy is -7.211 eV per atom. For the density of states at the Fermi level, the calculation gives 4.453 states/eV/cell.

Geometry as POSCAR:
```
CdIr2Os
1.0
2.7873 0.0000 0.0000
0.0000 2.7873 0.0000
0.0000 0.0000 8.1044
Cd Ir Os
1 2 1
direct
0.0000 0.0000 0.0000
0.0000 0.0000 0.5051
0.5000 0.5000 0.2688
0.5000 0.5000 0.7251
```


VASP calculation (PBE-GGA) on a relaxed structure of TcAs2Se.

The calculation puts the energy relative to the lowest polymorph listed for this composition at 1.21 eV/f.u. The calculation puts the volume at 76.3 Å³/f.u. For the density of states at the Fermi level, the calculation gives 2.959 states/eV/cell. The calculation puts the raw formation energy at 105 kJ/mol of formula units.

Geometry as POSCAR:
```
TcAs2Se
1.0
1.5791 -2.3745 0.0000
1.5791 2.3745 0.0000
0.0000 0.0000 10.1793
Tc As Se
1 2 1
direct
0.0000 0.0000 0.0000
0.5000 0.5000 0.1980
0.5000 0.5000 0.8020
0.0000 0.0000 0.5000
```


VASP calculation (PBE-GGA) on a relaxed structure of Mg3InAg4.

The calculation puts the energy relative to the lowest polymorph listed for this composition at 0.00 eV/f.u. The calculation puts the volume at 150.9 Å³/f.u. For the density of states at the Fermi level, the calculation gives 1.848 states/eV/cell.

Geometry as POSCAR:
```
Mg3InAg4
1.0
4.7551 0.0000 0.0000
0.0000 4.7551 0.0000
0.0000 0.0000 6.6718
Mg In Ag
3 1 4
direct
0.0000 0.0000 0.0000
0.0000 0.0000 0.5000
0.5000 0.5000 0.0000
0.5000 0.5000 0.5000
0.0000 0.5000 0.2418
0.0000 0.5000 0.7582
0.5000 0.0000 0.2418
0.5000 0.0000 0.7582
```


VASP calculation (PBE-GGA) on a relaxed structure of TlHg3Se2.

The calculation puts the volume at 179.5 Å³/f.u. For the density of states at the Fermi level, the calculation gives 0.138 states/eV/cell. The calculation puts the raw formation energy at -94 kJ/mol of formula units.

Geometry as POSCAR:
```
TlHg3Se2
1.0
4.2756 0.0000 0.0000
2.1330 8.2038 0.0000
0.0022 0.5069 10.2331
Tl Hg Se
2 6 4
direct
0.1202 0.2609 0.0233
0.8798 0.7391 0.9767
0.0013 0.4996 0.6324
0.3252 0.8497 0.5553
0.3272 0.8447 0.2795
0.6728 0.1553 0.7205
0.6748 0.1503 0.4447
0.9987 0.5004 0.3676
0.2641 0.9721 0.8100
0.4815 0.5361 0.1953
0.5185 0.4639 0.8047
0.7359 0.0279 0.1900
```


VASP calculation (PBE-GGA) on a relaxed structure of Cs3NbI2F6.

The calculation puts the volume at 461.4 Å³/f.u. For the density of states at the Fermi level, the calculation gives 0.000 states/eV/cell. The calculation puts the raw formation energy at -2950 kJ/mol of formula units.

Geometry as POSCAR:
```
Cs3NbI2F6
1.0
9.0804 -4.2798 0.0000
9.0804 4.2798 0.0000
-0.2104 0.0000 5.9358
Cs Nb I F
3 1 2 6
direct
0.0000 0.0000 0.0000
0.0000 0.5000 0.5000
0.5000 0.0000 0.5000
0.5000 0.5000 0.5000
0.2012 0.2012 0.9938
0.7988 0.7988 0.0062
0.3338 0.6602 0.2732
0.3398 0.6662 0.7268
0.3923 0.3923 0.5022
0.6077 0.6077 0.4978
0.6602 0.3338 0.2732
0.6662 0.3398 0.7268
```


VASP calculation (PBE-GGA) on a relaxed structure of DyTm4Tl2.

The calculation puts the energy relative to the lowest polymorph listed for this composition at 0.00 eV/f.u. The calculation puts the volume at 210.5 Å³/f.u. For the density of states at the Fermi level, the calculation gives 10.098 states/eV/cell.

Geometry as POSCAR:
```
DyTm4Tl2
1.0
3.3850 -5.8841 0.0000
3.3850 5.8841 0.0000
0.0000 0.0000 10.5707
Dy Tm Tl
2 8 4
direct
0.0000 0.0000 0.0000
0.5000 0.5000 0.5000
0.0443 0.9557 0.6713
0.0556 0.4444 0.7500
0.4444 0.0556 0.2500
0.4557 0.5443 0.1713
0.5443 0.4557 0.8287
0.5556 0.9444 0.7500
0.9444 0.5556 0.2500
0.9557 0.0443 0.3287
0.2367 0.7633 0.4843
0.2633 0.7367 0.9843
0.7367 0.2633 0.0157
0.7633 0.2367 0.5157
```


VASP calculation (PBE-GGA) on a relaxed structure of ZnRhBr2.

The calculation puts the energy relative to the lowest polymorph listed for this composition at 0.24 eV/f.u. The calculation puts the volume at 99.2 Å³/f.u. For the density of states at the Fermi level, the calculation gives 2.160 states/eV/cell. The calculation puts the raw formation energy at -56 kJ/mol of formula units.

Geometry as POSCAR:
```
ZnRhBr2
1.0
-1.7237 2.0089 7.1614
1.7237 -2.0089 7.1614
1.7237 2.0089 -7.1614
Zn Rh Br
1 1 2
direct
0.0000 0.0000 0.0000
0.5000 0.5000 0.0000
0.3618 0.8618 0.5000
0.6382 0.1382 0.5000
```


VASP calculation (PBE-GGA) on a relaxed structure of Fe2SeBr.

The calculation puts the energy relative to the lowest polymorph listed for this composition at 2.49 eV/f.u. The calculation puts the volume at 68.7 Å³/f.u. For the density of states at the Fermi level, the calculation gives 5.169 states/eV/cell. The calculation puts the raw formation energy at 182 kJ/mol of formula units.

Geometry as POSCAR:
```
Fe2SeBr
1.0
4.6346 0.0000 0.0000
0.0000 4.6346 0.0000
0.0000 0.0000 3.1991
Fe Se Br
2 1 1
direct
0.0000 0.5000 0.0000
0.5000 0.0000 0.0000
0.0000 0.0000 0.5000
0.5000 0.5000 0.5000
```